A plane-wave DFT calculation with GGA-PBE was carried out for Nd2SiGe3 after structural relaxation.

Cell and atoms, written as POSCAR:
```
Nd2SiGe3
1.0
0.000 4.610 7.188
4.127 0.000 7.188
4.127 4.610 0.000
Nd Si Ge
4 2 6
direct
0.248 0.752 0.752
0.250 0.250 0.250
0.750 0.750 0.750
0.752 0.248 0.248
0.168 0.168 0.832
0.832 0.832 0.168
0.150 0.674 0.326
0.326 0.850 0.150
0.336 0.336 0.664
0.664 0.664 0.336
0.674 0.150 0.850
0.850 0.326 0.674
```

Summary:
Symmetry: No. 69
Formation energy (no corrections), eV per atom: -0.57
Energy, eV per atom: -5.373
Calculated volume, Å³/cell: 274

A plane-wave DFT calculation with GGA-PBE was carried out for Y2MgS4 after structural relaxation.

Cell and atoms, written as POSCAR:
```
Y2MgS4
1.0
12.644 0.000 0.000
0.000 3.858 0.000
0.000 0.000 13.479
Y Mg S
8 4 16
direct
0.118 0.250 0.075
0.137 0.250 0.705
0.363 0.750 0.205
0.382 0.750 0.575
0.618 0.250 0.425
0.637 0.250 0.795
0.863 0.750 0.295
0.882 0.750 0.925
0.111 0.750 0.455
0.389 0.250 0.955
0.611 0.750 0.045
0.889 0.250 0.545
0.007 0.750 0.616
0.027 0.250 0.884
0.227 0.250 0.248
0.237 0.250 0.516
0.263 0.750 0.016
0.273 0.750 0.748
0.473 0.750 0.384
0.493 0.250 0.116
0.507 0.750 0.884
0.527 0.250 0.616
0.727 0.250 0.252
0.737 0.250 0.984
0.763 0.750 0.484
0.773 0.750 0.752
0.973 0.750 0.116
0.993 0.250 0.384
```

Summary:
Symmetry: No. 62
Formation energy (no corrections), eV per atom: -1.83
Energy, eV per atom: -6.265
Calculated volume, Å³/cell: 658

A plane-wave DFT calculation with GGA-PBE was carried out for Li3SnSb2 after structural relaxation.

Cell and atoms, written as POSCAR:
```
Li3SnSb2
1.0
4.485 0.000 0.000
0.000 4.291 0.000
-2.225 0.000 6.712
Li Sn Sb
3 1 2
direct
0.000 0.000 0.000
0.329 0.000 0.659
0.671 0.000 0.341
0.500 0.500 0.000
0.163 0.500 0.327
0.837 0.500 0.673
```

Summary:
Symmetry: No. 10
Formation energy (no corrections), eV per atom: -0.39
Energy, eV per atom: -3.387
Calculated volume, Å³/cell: 129

A plane-wave DFT calculation with GGA-PBE was carried out for La21Mn8Bi7C12 after structural relaxation.

Cell and atoms, written as POSCAR:
```
La21Mn8Bi7C12
1.0
0.000 8.305 8.305
8.305 0.000 8.305
8.305 8.305 0.000
La Mn Bi C
21 8 7 12
direct
0.000 0.000 0.000
0.136 0.136 0.136
0.136 0.136 0.591
0.136 0.591 0.136
0.157 0.500 0.500
0.157 0.500 0.843
0.157 0.843 0.500
0.409 0.864 0.864
0.500 0.157 0.500
0.500 0.157 0.843
0.500 0.500 0.157
0.500 0.500 0.843
0.500 0.843 0.157
0.500 0.843 0.500
0.591 0.136 0.136
0.843 0.157 0.500
0.843 0.500 0.157
0.843 0.500 0.500
0.864 0.409 0.864
0.864 0.864 0.409
0.864 0.864 0.864
0.094 0.302 0.302
0.302 0.094 0.302
0.302 0.302 0.094
0.302 0.302 0.302
0.698 0.698 0.698
0.698 0.698 0.906
0.698 0.906 0.698
0.906 0.698 0.698
0.209 0.209 0.791
0.209 0.791 0.209
0.209 0.791 0.791
0.500 0.500 0.500
0.791 0.209 0.209
0.791 0.209 0.791
0.791 0.791 0.209
0.107 0.107 0.393
0.107 0.393 0.107
0.107 0.393 0.393
0.393 0.107 0.107
0.393 0.107 0.393
0.393 0.393 0.107
0.607 0.607 0.893
0.607 0.893 0.607
0.607 0.893 0.893
0.893 0.607 0.607
0.893 0.607 0.893
0.893 0.893 0.607
```

Summary:
Symmetry: No. 225
Energy, eV per atom: -7.101
Calculated volume, Å³/cell: 1145

A plane-wave DFT calculation with GGA-PBE was carried out for Ac4TbPa3N8 after structural relaxation.

Cell and atoms, written as POSCAR:
```
Ac4TbPa3N8
1.0
3.625 2.093 6.209
-3.625 2.093 6.209
0.000 -4.186 6.209
Ac Tb Pa N
4 1 3 8
direct
0.000 0.000 0.000
0.000 0.500 0.500
0.500 0.000 0.500
0.500 0.500 0.000
0.500 0.500 0.500
0.000 0.000 0.500
0.000 0.500 0.000
0.500 0.000 0.000
0.215 0.738 0.738
0.229 0.229 0.229
0.262 0.262 0.785
0.262 0.785 0.262
0.738 0.215 0.738
0.738 0.738 0.215
0.771 0.771 0.771
0.785 0.262 0.262
```

Summary:
Symmetry: No. 166
Formation energy (no corrections), eV per atom: -1.43
Energy, eV per atom: -8.687
Calculated volume, Å³/cell: 283

A plane-wave DFT calculation with GGA-PBE was carried out for Be3TlPb after structural relaxation.

Cell and atoms, written as POSCAR:
```
Be3TlPb
1.0
4.812 0.000 0.000
0.000 4.812 0.000
0.000 0.000 4.812
Be Tl Pb
3 1 1
direct
0.000 0.000 0.500
0.000 0.500 0.000
0.500 0.000 0.000
0.500 0.500 0.500
0.000 0.000 0.000
```

Summary:
Symmetry: No. 221
Energy, eV per atom: -2.209
Calculated volume, Å³/cell: 111

A plane-wave DFT calculation with GGA-PBE was carried out for Nd2ScGe3Pd4 after structural relaxation.

Cell and atoms, written as POSCAR:
```
Nd2ScGe3Pd4
1.0
4.251 0.000 0.000
0.000 4.251 0.000
0.000 0.000 11.037
Nd Sc Ge Pd
2 1 3 4
direct
0.000 0.500 0.230
0.500 0.000 0.770
0.000 0.000 0.500
0.000 0.500 0.872
0.500 0.000 0.128
0.500 0.500 0.500
0.000 0.000 0.000
0.000 0.500 0.647
0.500 0.000 0.353
0.500 0.500 0.000
```

Summary:
Symmetry: No. 115
Energy, eV per atom: -5.903
Calculated volume, Å³/cell: 199

A plane-wave DFT calculation with GGA-PBE was carried out for Ac5Ce3As8 after structural relaxation.

Cell and atoms, written as POSCAR:
```
Ac5Ce3As8
1.0
4.431 2.558 7.244
-4.431 2.558 7.244
0.000 -5.116 7.244
Ac Ce As
5 3 8
direct
0.000 0.000 0.000
0.000 0.500 0.500
0.500 0.000 0.500
0.500 0.500 0.000
0.500 0.500 0.500
0.000 0.000 0.500
0.000 0.500 0.000
0.500 0.000 0.000
0.236 0.750 0.750
0.244 0.244 0.244
0.250 0.250 0.764
0.250 0.764 0.250
0.750 0.236 0.750
0.750 0.750 0.236
0.756 0.756 0.756
0.764 0.250 0.250
```

Summary:
Symmetry: No. 166
Energy, eV per atom: -6.158
Calculated volume, Å³/cell: 493

A plane-wave DFT calculation with GGA-PBE was carried out for SrLi2Fe after structural relaxation.

Cell and atoms, written as POSCAR:
```
SrLi2Fe
1.0
3.528 0.000 0.000
0.000 3.528 0.000
0.000 0.000 7.230
Sr Li Fe
1 2 1
direct
0.000 0.000 0.000
0.500 0.500 0.327
0.500 0.500 0.673
0.000 0.000 0.500
```

Summary:
Symmetry: No. 123
Energy, eV per atom: -2.999
Calculated volume, Å³/cell: 90

A plane-wave DFT calculation with GGA-PBE was carried out for Si2TcSb after structural relaxation.

Cell and atoms, written as POSCAR:
```
Si2TcSb
1.0
3.112 0.000 0.000
0.000 3.112 0.000
0.000 0.000 7.621
Si Tc Sb
2 1 1
direct
0.000 0.000 0.000
0.500 0.500 0.187
0.000 0.000 0.342
0.500 0.500 0.595
```

Summary:
Symmetry: No. 99
Formation energy (no corrections), eV per atom: 0.06
Energy, eV per atom: -6.277
Calculated volume, Å³/cell: 74

A plane-wave DFT calculation with GGA-PBE was carried out for KBaSc2 after structural relaxation.

Cell and atoms, written as POSCAR:
```
KBaSc2
1.0
3.813 0.000 0.000
0.000 5.961 0.000
0.000 0.000 6.355
K Ba Sc
1 1 2
direct
0.000 0.000 0.000
0.500 0.500 0.000
0.000 0.500 0.500
0.500 0.000 0.500
```

Summary:
Symmetry: No. 47
Energy, eV per atom: -3.301
Calculated volume, Å³/cell: 144

The highest calculated volume belongs to which entry? La21Mn8Bi7C12